DFT (PBE+U) results for a relaxed structure of K3NiO3.

## Properties
* raw total energy: -4.0222 eV/atom
* ΔE to the lowest computed polymorph: 0 meV/atom
* V: 20.52 Å³ per atom
* SG: No. 176

```
14
Lattice="7.7827 0.0000 0.0000 -3.8914 6.7400 0.0000 0.0000 0.0000 5.4754" Properties=species:S:1:pos:R:3 pbc="T T T"
K -2.1008 4.9087 1.3688
K 0.6907 2.4663 1.3688
K 2.4812 0.6350 4.1065
K 1.4102 6.1050 1.3688
K 3.2007 4.2737 4.1065
K 5.9922 1.8313 4.1065
Ni 0.0000 4.4934 4.1065
Ni 3.8914 2.2467 1.3688
O -1.7835 4.7039 4.1065
O 0.7094 2.8435 4.1065
O 2.8173 0.8074 1.3688
O 1.0741 5.9327 4.1065
O 3.1819 3.8965 1.3688
O 5.6749 2.0362 1.3688
```